[1]
Compound: LiNi2Ag
Source: OQMD via LeMat-Bulk
Functional: PBE-GGA
Structure: optimized geometry

Lattice parameters (Å, degrees): 5.854 5.854 5.854 90.00 90.00 90.00
Fractional coordinates of all 16 atoms:
Li: 0.000 0.000 0.000
Li: 0.000 0.500 0.500
Li: 0.500 0.000 0.500
Li: 0.500 0.500 0.000
Ni: 0.000 0.000 0.500
Ni: 0.000 0.500 0.000
Ni: 0.250 0.250 0.750
Ni: 0.250 0.750 0.250
Ni: 0.500 0.000 0.000
Ni: 0.500 0.500 0.500
Ni: 0.750 0.250 0.250
Ni: 0.750 0.750 0.750
Ag: 0.250 0.250 0.250
Ag: 0.250 0.750 0.750
Ag: 0.750 0.250 0.750
Ag: 0.750 0.750 0.250

[2]
Compound: LiNiAg
Source: OQMD via LeMat-Bulk
Functional: PBE-GGA
Structure: optimized geometry

Lattice parameters (Å, degrees): 5.847 5.847 5.847 90.00 90.00 90.00
Fractional coordinates of all 12 atoms:
Li: 0.000 0.000 0.000
Li: 0.000 0.500 0.500
Li: 0.500 0.000 0.500
Li: 0.500 0.500 0.000
Ni: 0.000 0.000 0.500
Ni: 0.000 0.500 0.000
Ni: 0.500 0.000 0.000
Ni: 0.500 0.500 0.500
Ag: 0.250 0.250 0.250
Ag: 0.250 0.750 0.750
Ag: 0.750 0.250 0.750
Ag: 0.750 0.750 0.250

Results
Energy above the lowest structure with this stoichiometry   0.0465 eV per atom

Asked for total energy across the records above, the calculation gives -3.864, -3.031 eV per atom in order.